Entry 1:
! Re2SbRu PBE relaxed; values from VASP
&SYSTEM
  ibrav = 0, nat = 4, ntyp = 3
/
ATOMIC_SPECIES
Re 186.21 Re.upf
Sb 121.76 Sb.upf
Ru 101.07 Ru.upf
CELL_PARAMETERS angstrom
4.732 -1.472 0.000
4.732 1.472 0.000
-0.683 0.000 4.624
ATOMIC_POSITIONS angstrom
Re 2.096 0.000 1.058
Re 6.684 0.000 3.566
Sb -0.342 0.000 2.312
Ru 4.732 0.000 0.000
! M_tot = 0.00 μB/f.u.
! mass density = 15.3 Mg/m³
! formation energy (no corrections) = 0.370 eV/atom

Entry 2:
! Re4SbRu PBE relaxed; values from VASP
&SYSTEM
  ibrav = 0, nat = 6, ntyp = 3
/
ATOMIC_SPECIES
Re 186.21 Re.upf
Sb 121.76 Sb.upf
Ru 101.07 Ru.upf
CELL_PARAMETERS angstrom
0.000 3.691 3.691
3.691 0.000 3.691
3.691 3.691 0.000
ATOMIC_POSITIONS angstrom
Re 0.916 0.916 0.916
Re 2.776 2.776 0.916
Re 2.776 0.916 2.776
Re 0.916 2.776 2.776
Sb 3.691 3.691 3.691
Ru 5.537 5.537 5.537
! M_tot = 0.00 μB/f.u.
! mass density = 16.0 Mg/m³
! formation energy (no corrections) = 0.751 eV/atom

Entry 3:
! Re2SbRu PBE relaxed; values from VASP
&SYSTEM
  ibrav = 0, nat = 4, ntyp = 3
/
ATOMIC_SPECIES
Re 186.21 Re.upf
Sb 121.76 Sb.upf
Ru 101.07 Ru.upf
CELL_PARAMETERS angstrom
2.988 0.000 0.000
0.000 2.988 0.000
0.000 0.000 7.228
ATOMIC_POSITIONS angstrom
Re 0.000 0.000 0.000
Re 1.494 1.494 1.641
Sb 1.494 1.494 5.225
Ru 0.000 0.000 3.421
! M_tot = 0.00 μB/f.u.
! mass density = 15.3 Mg/m³
! formation energy (no corrections) = 0.301 eV/atom

Entry 4:
! ReSb4Ru PBE relaxed; values from VASP
&SYSTEM
  ibrav = 0, nat = 6, ntyp = 3
/
ATOMIC_SPECIES
Re 186.21 Re.upf
Sb 121.76 Sb.upf
Ru 101.07 Ru.upf
CELL_PARAMETERS angstrom
0.000 4.162 4.162
4.162 0.000 4.162
4.162 4.162 0.000
ATOMIC_POSITIONS angstrom
Re 0.000 0.000 0.000
Sb 3.121 3.121 3.121
Sb 5.202 5.202 3.121
Sb 5.202 3.121 5.202
Sb 3.121 5.202 5.202
Ru 6.242 6.242 6.242
! M_tot = 2.98 μB/f.u.
! mass density = 8.9 Mg/m³
! formation energy (no corrections) = 1.585 eV/atom

Entry 5:
! Re2SbRu PBE relaxed; values from VASP
&SYSTEM
  ibrav = 0, nat = 4, ntyp = 3
/
ATOMIC_SPECIES
Re 186.21 Re.upf
Sb 121.76 Sb.upf
Ru 101.07 Ru.upf
CELL_PARAMETERS angstrom
4.509 0.000 0.000
0.000 2.971 0.000
-1.299 0.000 4.789
ATOMIC_POSITIONS angstrom
Re 0.000 0.000 0.000
Re 2.254 1.485 0.000
Sb -0.649 1.485 2.395
Ru 1.605 0.000 2.395
! M_tot = 0.00 μB/f.u.
! mass density = 15.4 Mg/m³
! formation energy (no corrections) = 0.461 eV/atom

Entry 6:
! Re2SbRu PBE relaxed; values from VASP
&SYSTEM
  ibrav = 0, nat = 4, ntyp = 3
/
ATOMIC_SPECIES
Re 186.21 Re.upf
Sb 121.76 Sb.upf
Ru 101.07 Ru.upf
CELL_PARAMETERS angstrom
4.543 -1.537 0.000
4.543 1.537 0.000
-1.213 0.000 4.681
ATOMIC_POSITIONS angstrom
Re 0.000 0.000 0.000
Re 6.507 0.000 0.593
Sb 3.872 0.000 2.240
Ru 1.379 0.000 3.089
! M_tot = 0.00 μB/f.u.
! mass density = 15.1 Mg/m³
! formation energy (no corrections) = 0.388 eV/atom

Entry 7:
! Re2SbRu PBE relaxed; values from VASP
&SYSTEM
  ibrav = 0, nat = 4, ntyp = 3
/
ATOMIC_SPECIES
Re 186.21 Re.upf
Sb 121.76 Sb.upf
Ru 101.07 Ru.upf
CELL_PARAMETERS angstrom
-2.016 2.016 3.901
2.016 -2.016 3.901
2.016 2.016 -3.901
ATOMIC_POSITIONS angstrom
Re 0.000 0.000 0.000
Re 0.000 2.016 1.951
Sb 0.000 0.000 3.901
Ru 2.016 0.000 1.951
! M_tot = 0.00 μB/f.u.
! mass density = 15.6 Mg/m³
! formation energy (no corrections) = 0.445 eV/atom

Entry 8:
! Re2SbRu PBE relaxed; values from VASP
&SYSTEM
  ibrav = 0, nat = 4, ntyp = 3
/
ATOMIC_SPECIES
Re 186.21 Re.upf
Sb 121.76 Sb.upf
Ru 101.07 Ru.upf
CELL_PARAMETERS angstrom
3.080 0.000 0.000
0.000 4.445 0.000
0.000 0.000 4.708
ATOMIC_POSITIONS angstrom
Re 0.000 0.000 0.000
Re 1.540 2.223 0.000
Sb 0.000 2.223 2.354
Ru 1.540 0.000 2.354
! M_tot = 0.00 μB/f.u.
! mass density = 15.3 Mg/m³
! formation energy (no corrections) = 0.516 eV/atom

no.,DOS at the Fermi energy (states/eV/f.u.)
1,3.832
2,7.381
3,2.506
4,5.457
5,3.659
6,3.425
7,5.064
8,4.619